Below is a geometry-optimized NdBPt2 structure, with properties calculated at the GGA-PBEsol level.

DOS at the Fermi energy: 0.3019 states/eV per atom
calculated formation energy: -0.9279 eV per atom

Lattice parameters (Å, degrees): 5.418 5.418 7.889 90.00 90.00 120.00
Sites, in units of the cell vectors:
Nd 0.000 0.500 0.167
Nd 0.500 0.000 0.500
Nd 0.500 0.500 0.833
B 0.000 0.500 0.667
B 0.500 0.000 0.000
B 0.500 0.500 0.333
Pt 0.151 0.303 0.500
Pt 0.151 0.849 0.833
Pt 0.303 0.151 0.167
Pt 0.697 0.849 0.167
Pt 0.849 0.151 0.833
Pt 0.849 0.697 0.500